{"formula": "Tl2CrW", "functional": "PBE", "state": "relaxed", "lattice": [[-1.1802, -2.1544, 1.9337], [2.6617, -1.6098, -0.1690], [4.4865, 3.4101, 6.5377]], "species": ["Cr", "Tl", "Tl", "W"], "frac_coords": [[0.5000, 0.8602, 0.7024], [0.0000, 0.2020, 0.9463], [0.5000, 0.0581, 0.2921], [0.0000, 0.3798, 0.5592]], "delta_e_f_ev_per_atom": 0.60, "relative_energy_kj_per_mol_atoms": 0.0, "total_magnetization_mub_per_fu": 0.3}

{"formula": "Sm2ZnPt2", "functional": "PBE", "state": "relaxed", "lattice": [[0.1870, -2.4637, 3.7228], [-1.7758, -5.2476, -0.7022], [3.8099, -4.0773, -0.2083]], "species": ["Pt", "Pt", "Zn", "Sm", "Sm"], "frac_coords": [[0.5000, 0.2588, 0.7412], [0.5000, 0.7412, 0.2588], [0.0000, 0.0000, 0.0000], [0.8031, 0.6969, 0.6969], [0.1969, 0.3031, 0.3031]], "delta_e_f_ev_per_atom": -0.99, "total_magnetization_mub_per_fu": 0.0}

{"formula": "CrReC2", "functional": "PBE", "state": "relaxed", "lattice": [[2.4859, 0.3999, 2.7240], [1.8500, 3.1940, 0.3685], [-0.7286, 2.2459, 2.8609]], "species": ["C", "C", "Re", "Cr"], "frac_coords": [[0.2500, 0.2500, 0.2500], [0.7500, 0.7500, 0.7500], [0.5000, 0.5000, 0.5000], [0.0000, 0.0000, 0.0000]], "delta_e_f_ev_per_atom": 0.84, "relative_energy_kj_per_mol_atoms": 22.5, "total_magnetization_mub_per_fu": 1.2}

{"formula": "BiAsPb3", "functional": "PBE", "state": "relaxed", "lattice": [[-3.1522, -2.8948, 3.5182], [6.1003, -2.5973, 3.3286], [-0.3896, 6.2148, 4.7646]], "species": ["As", "As", "Pb", "Pb", "Pb", "Pb", "Pb", "Pb", "Bi", "Bi"], "frac_coords": [[0.2500, 0.1321, 0.1163], [0.7500, 0.8679, 0.8837], [0.2500, 0.4477, 0.3468], [0.2500, 0.7353, 0.9691], [0.7500, 0.5523, 0.6532], [0.7500, 0.0775, 0.5873], [0.7500, 0.2647, 0.0309], [0.2500, 0.9225, 0.4127], [0.7500, 0.6849, 0.2591], [0.2500, 0.3151, 0.7409]], "delta_e_f_ev_per_atom": 0.06, "relative_energy_kj_per_mol_atoms": 0.0, "total_magnetization_mub_per_fu": 0.0}